A plane-wave DFT calculation with PBE-GGA was carried out for a relaxed structure of LaHoTm4.

POSCAR file:
```
LaHoTm4
1.0
6.569 0.000 0.000
3.285 5.689 0.000
3.285 1.896 5.364
Tm Ho La
4 1 1
direct
0.626 0.626 0.626
0.626 0.123 0.626
0.123 0.626 0.626
0.626 0.626 0.123
0.000 0.000 0.000
0.250 0.250 0.250
```

Calculated values
relative energy among the computed polymorphs: 135 meV per atom
space-group type: F-43m (216)
DOS(E_F): 12.21 states/eV per cell
energy of formation: 277 meV per atom